## VNi5Ir6 (PBE)

Data for an optimized crystal structure of VNi5Ir6.

The structure in extended XYZ format:
```
12
Lattice="-1.901 3.594 5.688 1.901 -3.594 5.688 1.901 3.594 -5.688" Properties=species:S:1:pos:R:3 pbc="T T T"
V 0.000 0.000 0.000
Ni 1.901 0.000 1.837
Ni 0.000 0.000 3.814
Ni 0.000 3.594 0.000
Ni 0.000 0.000 7.563
Ni 0.000 3.594 3.851
Ir 1.901 -1.804 3.787
Ir 1.901 1.802 0.000
Ir 0.000 1.790 1.901
Ir 1.901 1.804 3.787
Ir 0.000 1.792 5.688
Ir 0.000 5.399 1.901
```

* magnetization: 0.00 μB/cell
* volume: 12.95 Å³ per atom
* ΔH_f (0 K): -0.10 eV/atom
* E_tot: -0.2831 Ha/atom
* space-group type: Immm, No. 71